# 1
Entry from Alexandria via LeMat-Bulk: an optimized crystal structure of Zn12Co2Cu5 (PBE-GGA).

Lattice parameters (Å, degrees): 7.059 6.877 6.261 90.16 90.00 120.88
Sites, in units of the cell vectors:
Zn 0.915 0.829 0.120
Zn 0.033 0.696 0.769
Zn 0.664 0.696 0.769
Zn 0.179 0.749 0.326
Zn 0.570 0.749 0.326
Zn 0.436 0.873 0.671
Zn 0.564 0.127 0.329
Zn 0.821 0.251 0.674
Zn 0.430 0.251 0.674
Zn 0.967 0.304 0.231
Zn 0.336 0.304 0.231
Zn 0.085 0.171 0.880
Co 0.668 0.000 0.000
Co 0.332 0.000 0.000
Cu 0.228 0.455 0.562
Cu 0.300 0.601 0.990
Cu 0.000 0.000 0.500
Cu 0.700 0.399 0.010
Cu 0.772 0.545 0.438


# 2
Entry from Alexandria via LeMat-Bulk: an optimized crystal structure of Zn2CoCu (PBE-GGA).

Lattice parameters (Å, degrees): 2.638 2.638 8.549 81.12 81.12 60.00
Sites, in units of the cell vectors:
Zn 0.081 0.081 0.756
Zn 0.252 0.252 0.245
Co 0.667 0.667 0.000
Cu 0.500 0.500 0.500


# 3
Entry from Alexandria via LeMat-Bulk: an optimized crystal structure of Zn2CoCu (PBE-GGA).

Lattice parameters (Å, degrees): 4.297 4.297 4.297 126.43 126.43 79.18
Sites, in units of the cell vectors:
Zn 0.000 0.000 0.000
Zn 0.500 0.500 0.000
Co 0.250 0.750 0.500
Cu 0.750 0.250 0.500


# 4
Entry from Alexandria via LeMat-Bulk: an optimized crystal structure of Zn2CoCu (PBE-GGA).

Lattice parameters (Å, degrees): 4.138 4.138 4.138 60.00 60.00 60.00
Sites, in units of the cell vectors:
Co 0.500 0.500 0.500
Cu 0.750 0.750 0.750
Zn 0.000 0.000 0.000
Zn 0.250 0.250 0.250


# 5
Entry from Alexandria via LeMat-Bulk: an optimized crystal structure of Zn7Co2Cu2 (PBE-GGA).

Lattice parameters (Å, degrees): 5.081 7.185 5.081 90.04 120.77 89.96
Sites, in units of the cell vectors:
Zn 0.000 0.319 0.500
Zn 0.500 0.681 0.000
Zn 0.000 0.681 0.500
Zn 0.500 0.319 0.000
Zn 0.000 0.000 0.000
Zn 0.500 0.795 0.500
Zn 0.500 0.205 0.500
Co 0.775 0.500 0.775
Co 0.225 0.500 0.225
Cu 0.725 0.000 0.275
Cu 0.275 0.000 0.725


# 6
Entry from Alexandria via LeMat-Bulk: an optimized crystal structure of Zn2CoCu (PBE-GGA).

Lattice parameters (Å, degrees): 2.695 3.408 5.448 90.00 90.00 90.00
Sites, in units of the cell vectors:
Zn 0.000 0.000 0.009
Zn 0.000 0.000 0.491
Co 0.500 0.500 0.250
Cu 0.500 0.500 0.750


# 7
Entry from Alexandria via LeMat-Bulk: an optimized crystal structure of ZnCoCu2 (PBE-GGA).

Lattice parameters (Å, degrees): 8.566 8.566 8.566 17.31 17.31 17.31
Sites, in units of the cell vectors:
Co 0.749 0.749 0.749
Cu 0.001 0.001 0.001
Cu 0.251 0.251 0.251
Zn 0.499 0.499 0.499


# 8
Entry from Alexandria via LeMat-Bulk: an optimized crystal structure of ZnCoCu2 (PBE-GGA).

Lattice parameters (Å, degrees): 4.551 4.551 2.521 90.00 90.00 111.81
Sites, in units of the cell vectors:
Co 0.000 0.500 0.500
Cu 0.000 0.000 0.000
Cu 0.500 0.500 0.000
Zn 0.500 0.000 0.500


no.,VASP energy (eV per atom)
1,-2.623
2,-3.443
3,-3.465
4,-3.387
5,-2.662
6,-3.469
7,-4.100
8,-4.095